Entry 1:
# MgCd2Ir

A relaxed structure of MgCd2Ir (PBE, Alexandria).

Values from the calculation:
Density of states at the Fermi level (states/eV per atom): 0.44
E_tot (eV per atom): -2.853
Formation energy from the elements (eV per atom): 0.219

CIF file:
```
data_MgCd2Ir
_chemical_formula_sum 'Mg4 Cd8 Ir4'
_cell_length_a 4.027
_cell_length_b 4.027
_cell_length_c 19.810
_cell_angle_alpha 90.00
_cell_angle_beta 90.00
_cell_angle_gamma 90.00
_symmetry_space_group_name_H-M 'I -4 2 d'
_symmetry_Int_Tables_number 122
_symmetry_space_group_name_Hall 'I -4 2bw'
loop_
_atom_site_label
_atom_site_fract_x
_atom_site_fract_y
_atom_site_fract_z
Mg1 0.000 0.000 0.000
Cd1 0.236 0.250 0.625
Ir1 0.000 0.000 0.500
```

Entry 2:
# Mg6Cd2Ir

A relaxed structure of Mg6Cd2Ir (PBE, Alexandria).

Values from the calculation:
Polymorph energy (0 for the lowest one) (meV per atom): 23
Density of states at the Fermi level (states/eV per atom): 0.47
E_tot (eV per atom): -2.295
Formation energy from the elements (eV per atom): -0.044

CIF file:
```
data_Mg6Cd2Ir
_chemical_formula_sum 'Mg12 Cd4 Ir2'
_cell_length_a 14.440
_cell_length_b 7.121
_cell_length_c 4.471
_cell_angle_alpha 90.00
_cell_angle_beta 107.88
_cell_angle_gamma 90.00
_symmetry_space_group_name_H-M 'C 1 2/m 1'
_symmetry_Int_Tables_number 12
_symmetry_space_group_name_Hall '-C 2y'
loop_
_atom_site_label
_atom_site_fract_x
_atom_site_fract_y
_atom_site_fract_z
Mg1 0.000 0.207 0.000
Mg2 0.155 0.221 0.656
Cd1 0.159 0.500 0.160
Ir1 0.000 0.000 0.500
```

Entry 3:
# MgCd2Ir

A relaxed structure of MgCd2Ir (PBE, Alexandria).

Values from the calculation:
Density of states at the Fermi level (states/eV per atom): 0.58
E_tot (eV per atom): -3.141
Formation energy from the elements (eV per atom): -0.070

CIF file:
```
data_MgCd2Ir
_chemical_formula_sum 'Mg1 Cd2 Ir1'
_cell_length_a 4.129
_cell_length_b 4.129
_cell_length_c 4.230
_cell_angle_alpha 90.00
_cell_angle_beta 90.00
_cell_angle_gamma 90.00
_symmetry_space_group_name_H-M 'P 4/m m m'
_symmetry_Int_Tables_number 123
_symmetry_space_group_name_Hall '-P 4 2'
loop_
_atom_site_label
_atom_site_fract_x
_atom_site_fract_y
_atom_site_fract_z
Mg1 0.000 0.000 0.000
Cd1 0.000 0.500 0.500
Ir1 0.500 0.500 0.000
```

Entry 4:
# MgCd2Ir

A relaxed structure of MgCd2Ir (PBE, Alexandria).

Values from the calculation:
Density of states at the Fermi level (states/eV per atom): 0.46
E_tot (eV per atom): -3.031
Formation energy from the elements (eV per atom): 0.041

CIF file:
```
data_MgCd2Ir
_chemical_formula_sum 'Mg2 Cd4 Ir2'
_cell_length_a 5.810
_cell_length_b 7.953
_cell_length_c 3.159
_cell_angle_alpha 90.00
_cell_angle_beta 90.00
_cell_angle_gamma 90.00
_symmetry_space_group_name_H-M 'C m m m'
_symmetry_Int_Tables_number 65
_symmetry_space_group_name_Hall '-C 2 2'
loop_
_atom_site_label
_atom_site_fract_x
_atom_site_fract_y
_atom_site_fract_z
Mg1 0.000 0.000 0.000
Cd1 0.250 0.250 0.500
Ir1 0.000 0.500 0.000
```

Entry 5:
# MgCd2Ir

A relaxed structure of MgCd2Ir (PBE, Alexandria).

Values from the calculation:
Density of states at the Fermi level (states/eV per atom): 0.40
E_tot (eV per atom): -3.148
Formation energy from the elements (eV per atom): -0.076

CIF file:
```
data_MgCd2Ir
_chemical_formula_sum 'Mg2 Cd4 Ir2'
_cell_length_a 4.131
_cell_length_b 4.131
_cell_length_c 8.460
_cell_angle_alpha 90.00
_cell_angle_beta 90.00
_cell_angle_gamma 90.00
_symmetry_space_group_name_H-M 'I -4 m 2'
_symmetry_Int_Tables_number 119
_symmetry_space_group_name_Hall 'I -4 -2'
loop_
_atom_site_label
_atom_site_fract_x
_atom_site_fract_y
_atom_site_fract_z
Mg1 0.000 0.000 0.000
Cd1 0.000 0.000 0.500
Cd2 0.000 0.500 0.250
Ir1 0.000 0.500 0.750
```

Entry 6:
# MgCd2Ir

A relaxed structure of MgCd2Ir (PBE, Alexandria).

Values from the calculation:
Density of states at the Fermi level (states/eV per atom): 0.46
E_tot (eV per atom): -3.173
Formation energy from the elements (eV per atom): -0.102

CIF file:
```
data_MgCd2Ir
_chemical_formula_sum 'Mg2 Cd4 Ir2'
_cell_length_a 4.064
_cell_length_b 4.064
_cell_length_c 8.703
_cell_angle_alpha 90.00
_cell_angle_beta 90.00
_cell_angle_gamma 90.00
_symmetry_space_group_name_H-M 'I 4/m m m'
_symmetry_Int_Tables_number 139
_symmetry_space_group_name_Hall '-I 4 2'
loop_
_atom_site_label
_atom_site_fract_x
_atom_site_fract_y
_atom_site_fract_z
Mg1 0.000 0.000 0.000
Cd1 0.000 0.500 0.250
Ir1 0.000 0.000 0.500
```

Entry 7:
# MgCd2Ir

A relaxed structure of MgCd2Ir (PBE, Alexandria).

Values from the calculation:
Density of states at the Fermi level (states/eV per atom): 0.42
E_tot (eV per atom): -2.881
Formation energy from the elements (eV per atom): 0.191

CIF file:
```
data_MgCd2Ir
_chemical_formula_sum 'Mg2 Cd4 Ir2'
_cell_length_a 3.061
_cell_length_b 5.045
_cell_length_c 9.876
_cell_angle_alpha 90.00
_cell_angle_beta 90.00
_cell_angle_gamma 90.00
_symmetry_space_group_name_H-M 'C m m m'
_symmetry_Int_Tables_number 65
_symmetry_space_group_name_Hall '-C 2 2'
loop_
_atom_site_label
_atom_site_fract_x
_atom_site_fract_y
_atom_site_fract_z
Mg1 0.000 0.000 0.000
Cd1 0.000 0.500 0.266
Ir1 0.000 0.000 0.500
```

Entry 8:
# MgCd2Ir

A relaxed structure of MgCd2Ir (PBE, Alexandria).

Values from the calculation:
Density of states at the Fermi level (states/eV per atom): 0.65
E_tot (eV per atom): -3.040
Formation energy from the elements (eV per atom): 0.031

CIF file:
```
data_MgCd2Ir
_chemical_formula_sum 'Mg1 Cd2 Ir1'
_cell_length_a 2.988
_cell_length_b 4.811
_cell_length_c 5.179
_cell_angle_alpha 90.00
_cell_angle_beta 97.21
_cell_angle_gamma 90.00
_symmetry_space_group_name_H-M 'P 1 2/m 1'
_symmetry_Int_Tables_number 10
_symmetry_space_group_name_Hall '-P 2y'
loop_
_atom_site_label
_atom_site_fract_x
_atom_site_fract_y
_atom_site_fract_z
Mg1 0.000 0.000 0.000
Cd1 0.271 0.500 0.741
Ir1 0.500 0.000 0.500
```

Entry 9:
# Mg6Cd12Ir

A relaxed structure of Mg6Cd12Ir (PBE, Alexandria).

Values from the calculation:
Density of states at the Fermi level (states/eV per atom): 0.27
E_tot (eV per atom): -1.668
Formation energy from the elements (eV per atom): -0.120

CIF file:
```
data_Mg6Cd12Ir
_chemical_formula_sum 'Mg18 Cd36 Ir3'
_cell_length_a 10.6093
_cell_length_b 10.6093
_cell_length_c 12.3999
_cell_angle_alpha 90.00
_cell_angle_beta 90.00
_cell_angle_gamma 120.00
_symmetry_space_group_name_H-M 'R -3'
_symmetry_Int_Tables_number 148
_symmetry_space_group_name_Hall '-R 3'
loop_
_atom_site_label
_atom_site_fract_x
_atom_site_fract_y
_atom_site_fract_z
Mg1 0.0400 0.4437 0.2083
Cd1 0.0444 0.1845 0.3132
Cd2 0.0648 0.8560 0.9085
Ir1 0.0000 0.0000 0.5000
```

Entry 10:
# MgCd2Ir

A relaxed structure of MgCd2Ir (PBE, Alexandria).

Values from the calculation:
Density of states at the Fermi level (states/eV per atom): 0.39
E_tot (eV per atom): -3.143
Formation energy from the elements (eV per atom): -0.072

CIF file:
```
data_MgCd2Ir
_chemical_formula_sum 'Mg1 Cd2 Ir1'
_cell_length_a 3.208
_cell_length_b 3.208
_cell_length_c 7.293
_cell_angle_alpha 90.00
_cell_angle_beta 90.00
_cell_angle_gamma 90.00
_symmetry_space_group_name_H-M 'P 4 m m'
_symmetry_Int_Tables_number 99
_symmetry_space_group_name_Hall 'P 4 -2'
loop_
_atom_site_label
_atom_site_fract_x
_atom_site_fract_y
_atom_site_fract_z
Mg1 0.000 0.000 0.000
Cd1 0.000 0.000 0.573
Cd2 0.500 0.500 0.282
Ir1 0.500 0.500 0.810
```

Entry 11:
# MgCdIr

A relaxed structure of MgCdIr (PBE, Alexandria).

Values from the calculation:
Polymorph energy (0 for the lowest one) (meV per atom): 52
Density of states at the Fermi level (states/eV per atom): 0.60
E_tot (eV per atom): -3.856
Formation energy from the elements (eV per atom): -0.066

CIF file:
```
data_MgCdIr
_chemical_formula_sum 'Mg1 Cd1 Ir1'
_cell_length_a 4.4878
_cell_length_b 4.4878
_cell_length_c 2.9587
_cell_angle_alpha 90.00
_cell_angle_beta 90.00
_cell_angle_gamma 120.00
_symmetry_space_group_name_H-M 'P 3 m 1'
_symmetry_Int_Tables_number 156
_symmetry_space_group_name_Hall 'P 3 -2"'
loop_
_atom_site_label
_atom_site_fract_x
_atom_site_fract_y
_atom_site_fract_z
Mg1 0.0000 0.0000 0.0000
Cd1 0.6667 0.3333 0.3115
Ir1 0.3333 0.6667 0.7088
```

Entry 12:
# NaMg2CdIr

A relaxed structure of NaMg2CdIr (PBE, Alexandria).

Values from the calculation:
Density of states at the Fermi level (states/eV per atom): 0.37
E_tot (eV per atom): -2.897
Formation energy from the elements (eV per atom): -0.041

CIF file:
```
data_NaMg2CdIr
_chemical_formula_sum 'Na1 Mg2 Cd1 Ir1'
_cell_length_a 5.010
_cell_length_b 5.010
_cell_length_c 5.281
_cell_angle_alpha 90.00
_cell_angle_beta 90.00
_cell_angle_gamma 90.00
_symmetry_space_group_name_H-M 'P 4/m m m'
_symmetry_Int_Tables_number 123
_symmetry_space_group_name_Hall '-P 4 2'
loop_
_atom_site_label
_atom_site_fract_x
_atom_site_fract_y
_atom_site_fract_z
Na1 0.000 0.000 0.000
Mg1 0.000 0.500 0.500
Cd1 0.500 0.500 0.000
Ir1 0.500 0.500 0.500
```